No. 1
Below is an optimized crystal structure of NaAlSn, with properties calculated at the PBE-GGA level.

Properties
energy of formation = -0.29 kcal/mol of atoms
density of states at the Fermi level = 1.18 states/eV/f.u.
space-group type = P-1, No. 2
total DFT energy (no corrections) = -3.03 eV per atom
spin magnetization = 0.00 μB/atom

a = 4.0489 Å, b = 5.9075 Å, c = 7.4680 Å
α = 113.18°, β = 105.71°, γ = 90.03°
With the nearest neighbours (Å) after each atom.
Positions (direct):
Na1 0.1898 0.1878 0.3781  4 Sn 3.11-3.29
Na2 0.8102 0.8122 0.6219  4 Sn 3.11-3.29
Al1 0.5000 0.2359 0.0003  1 Al 2.79, 4 Sn 2.96
Al2 0.5000 0.7641 0.9997  1 Al 2.79, 4 Sn 2.96
Sn1 0.1137 0.6127 0.2274  4 Al 2.96, 1 Sn 2.98, 4 Na 3.11-3.29
Sn2 0.8863 0.3873 0.7726  4 Al 2.96, 1 Sn 2.98, 4 Na 3.11-3.29



No. 2
Below is an optimized crystal structure of InSb2Pt, with properties calculated at the PBE-GGA level.

Properties
formation energy (no corrections) = 0.129 eV per atom
density of states at the Fermi level = 1.17 states/eV/f.u.
space-group type = Pmmm, No. 47
total DFT energy (no corrections) = -4.13 eV per atom
spin magnetization = 0.00 μB/atom

a = 4.3489 Å, b = 4.4809 Å, c = 4.7509 Å
α = 90.00°, β = 90.00°, γ = 90.00°
With the nearest neighbours (Å) after each atom.
Positions (direct):
In1 0.0000 0.0000 0.0000  4 Pt 3.12, 8 Sb 3.22-3.27
Sb1 0.0000 0.5000 0.5000  4 Sb 3.12, 4 Pt 3.22, 4 In 3.27
Sb2 0.5000 0.0000 0.5000  4 Sb 3.12, 4 In 3.22, 4 Pt 3.27
Pt1 0.5000 0.5000 0.0000  4 In 3.12, 8 Sb 3.22-3.27



No. 3
Below is an optimized crystal structure of Tb2YTl2, with properties calculated at the PBE-GGA level.

Properties
energy of formation = -3.60 kcal/mol of atoms
distance to the lowest polymorph of the same formula = 140 meV per atom
density of states at the Fermi level = 6.68 states/eV/f.u.
space-group type = P-3m1, No. 164
total DFT energy (no corrections) = -4.25 eV per atom
spin magnetization = 0.00 μB/atom

a = 5.2719 Å, b = 5.2719 Å, c = 6.5138 Å
α = 90.00°, β = 90.00°, γ = 120.00°
With the nearest neighbours (Å) after each atom.
Positions (direct):
Tb1 0.3333 0.6667 0.1724  5 Tl 3.14-3.37
Tb2 0.6667 0.3333 0.8276  5 Tl 3.14-3.37
Y1 0.0000 0.0000 0.5000  6 Tl 3.29
Tl1 0.3333 0.6667 0.6902  5 Tb 3.14-3.37, 3 Y 3.29
Tl2 0.6667 0.3333 0.3098  5 Tb 3.14-3.37, 3 Y 3.29



No. 4
Below is an optimized crystal structure of NaZrBr2, with properties calculated at the PBE-GGA level.

Properties
distance to the lowest polymorph of the same formula = 356 meV per atom
formation energy (no corrections) = -0.486 eV per atom
density of states at the Fermi level = 2.68 states/eV/f.u.
space-group type = I-42d, No. 122
total DFT energy (no corrections) = -3.79 eV per atom
spin magnetization = 0.72 μB/atom

a = 7.5964 Å, b = 7.5964 Å, c = 8.0670 Å
α = 90.00°, β = 90.00°, γ = 90.00°
With the nearest neighbours (Å) after each atom.
Positions (direct):
Na1 0.0000 0.0000 0.0000  4 Br 2.94
Na2 0.0000 0.5000 0.2500  4 Br 2.94
Na3 0.5000 0.0000 0.7500  4 Br 2.94
Na4 0.5000 0.5000 0.5000  4 Br 2.94
Zr1 0.0000 0.0000 0.5000  4 Br 2.80
Zr2 0.0000 0.5000 0.7500  4 Br 2.80
Zr3 0.5000 0.0000 0.2500  4 Br 2.80
Zr4 0.5000 0.5000 0.0000  4 Br 2.80
Br1 0.2355 0.7500 0.6250  2 Zr 2.80, 2 Na 2.94
Br2 0.2500 0.2355 0.3750  2 Zr 2.80, 2 Na 2.94
Br3 0.2500 0.2645 0.8750  2 Zr 2.80, 2 Na 2.94
Br4 0.2645 0.7500 0.1250  2 Zr 2.80, 2 Na 2.94
Br5 0.7355 0.2500 0.1250  2 Zr 2.80, 2 Na 2.94
Br6 0.7500 0.7355 0.8750  2 Zr 2.80, 2 Na 2.94
Br7 0.7500 0.7645 0.3750  2 Zr 2.80, 2 Na 2.94
Br8 0.7645 0.2500 0.6250  2 Zr 2.80, 2 Na 2.94



No. 5
Below is an optimized crystal structure of CeDy2Zr, with properties calculated at the PBE-GGA level.

Properties
energy of formation = 5.62 kcal/mol of atoms
distance to the lowest polymorph of the same formula = 131 meV per atom
density of states at the Fermi level = 11.76 states/eV/f.u.
space-group type = Fm-3m, No. 225
total DFT energy (no corrections) = -5.68 eV per atom
spin magnetization = 0.39 μB/atom

a = 7.7190 Å, b = 7.7190 Å, c = 7.7190 Å
α = 90.00°, β = 90.00°, γ = 90.00°
With the nearest neighbours (Å) after each atom.
Positions (direct):
Ce1 0.0000 0.0000 0.0000  8 Dy 3.34
Ce2 0.0000 0.5000 0.5000  8 Dy 3.34
Ce3 0.5000 0.0000 0.5000  8 Dy 3.34
Ce4 0.5000 0.5000 0.0000  8 Dy 3.34
Dy1 0.2500 0.2500 0.2500  4 Zr 3.34, 4 Ce 3.34
Dy2 0.2500 0.2500 0.7500  4 Zr 3.34, 4 Ce 3.34
Dy3 0.2500 0.7500 0.2500  4 Zr 3.34, 4 Ce 3.34
Dy4 0.2500 0.7500 0.7500  4 Zr 3.34, 4 Ce 3.34
Dy5 0.7500 0.2500 0.2500  4 Zr 3.34, 4 Ce 3.34
Dy6 0.7500 0.2500 0.7500  4 Zr 3.34, 4 Ce 3.34
Dy7 0.7500 0.7500 0.2500  4 Zr 3.34, 4 Ce 3.34
Dy8 0.7500 0.7500 0.7500  4 Zr 3.34, 4 Ce 3.34
Zr1 0.0000 0.0000 0.5000  8 Dy 3.34
Zr2 0.0000 0.5000 0.0000  8 Dy 3.34
Zr3 0.5000 0.0000 0.0000  8 Dy 3.34
Zr4 0.5000 0.5000 0.5000  8 Dy 3.34



No. 6
Below is an optimized crystal structure of Te2WBrN, with properties calculated at the PBE-GGA level.

Properties
distance to the lowest polymorph of the same formula = 0 meV per atom
formation energy (no corrections) = 0.325 eV per atom
density of states at the Fermi level = 5.01 states/eV/f.u.
space-group type = P4/mmm, No. 123
total DFT energy (no corrections) = -5.52 eV per atom
spin magnetization = 0.00 μB/atom

a = 5.4941 Å, b = 5.4941 Å, c = 3.8382 Å
α = 90.00°, β = 90.00°, γ = 90.00°
With the nearest neighbours (Å) after each atom.
Positions (direct):
Te1 0.0000 0.5000 0.0000  2 W 2.75
Te2 0.5000 0.0000 0.0000  2 W 2.75
W1 0.0000 0.0000 0.0000  2 N 1.92
Br1 0.5000 0.5000 0.5000  8 Te 3.35
N1 0.0000 0.0000 0.5000  2 W 1.92



No. 7
Below is an optimized crystal structure of Ac2TmSi3Au12, with properties calculated at the PBE-GGA level.

Properties
formation energy (no corrections) = -0.236 eV per atom
density of states at the Fermi level = 7.67 states/eV/f.u.
space-group type = R-3m, No. 166
total DFT energy (no corrections) = -4.03 eV per atom
spin magnetization = 0.00 μB/atom

a = 8.2446 Å, b = 8.2446 Å, c = 8.2446 Å
α = 65.33°, β = 65.33°, γ = 65.33°
With the nearest neighbours (Å) after each atom.
Positions (direct):
Ac1 0.1028 0.1028 0.1028  9 Au 3.14-3.51
Ac2 0.8972 0.8972 0.8972  9 Au 3.14-3.51
Tm1 0.5000 0.5000 0.5000  6 Au 2.82
Si1 0.0000 0.5000 0.5000  6 Au 2.46-2.47
Si2 0.5000 0.0000 0.5000  6 Au 2.46-2.47
Si3 0.5000 0.5000 0.0000  6 Au 2.46-2.47
Au1 0.1087 0.6372 0.6372  1 Si 2.47
Au2 0.1883 0.1883 0.6427  2 Si 2.46
Au3 0.1883 0.6427 0.1883  2 Si 2.46
Au4 0.3573 0.8117 0.8117  2 Si 2.46
Au5 0.3628 0.3628 0.8913  1 Si 2.47
Au6 0.3628 0.8913 0.3628  1 Si 2.47
Au7 0.6372 0.1087 0.6372  1 Si 2.47
Au8 0.6372 0.6372 0.1087  1 Si 2.47
Au9 0.6427 0.1883 0.1883  2 Si 2.46
Au10 0.8117 0.3573 0.8117  2 Si 2.46
Au11 0.8117 0.8117 0.3573  2 Si 2.46
Au12 0.8913 0.3628 0.3628  1 Si 2.47



No. 8
Below is an optimized crystal structure of Li2MnCr, with properties calculated at the PBE-GGA level.

Properties
energy of formation = 9.02 kcal/mol of atoms
distance to the lowest polymorph of the same formula = 119 meV per atom
density of states at the Fermi level = 2.91 states/eV/f.u.
space-group type = Cm, No. 8
total DFT energy (no corrections) = -5.26 eV per atom
spin magnetization = 0.00 μB/atom

a = 8.2519 Å, b = 2.2713 Å, c = 5.2794 Å
α = 90.00°, β = 90.10°, γ = 90.00°
With the nearest neighbours (Å) after each atom.
Positions (direct):
Li1 0.0000 0.0000 0.0000  3 Li 2.27-2.41
Li2 0.2487 0.5000 0.2336  3 Li 2.27-2.41
Li3 0.5000 0.5000 0.0000  3 Li 2.27-2.41
Li4 0.7487 0.0000 0.2336  3 Li 2.27-2.41
Mn1 0.2549 0.0000 0.7056  1 Cr 2.18, 2 Mn 2.27
Mn2 0.7549 0.5000 0.7056  1 Cr 2.18, 2 Mn 2.27
Cr1 0.4950 0.0000 0.5323  1 Mn 2.18, 2 Cr 2.27
Cr2 0.9950 0.5000 0.5323  1 Mn 2.18, 2 Cr 2.27



No. 9
Below is an optimized crystal structure of Cr4OsPb, with properties calculated at the PBE-GGA level.

Properties
energy of formation = 11.15 kcal/mol of atoms
density of states at the Fermi level = 7.36 states/eV/f.u.
space-group type = F-43m, No. 216
total DFT energy (no corrections) = -8.42 eV per atom
spin magnetization = 0.00 μB/atom

a = 4.8916 Å, b = 4.8916 Å, c = 4.8916 Å
α = 60.00°, β = 60.00°, γ = 60.00°
With the nearest neighbours (Å) after each atom.
Positions (direct):
Cr1 0.3770 0.3770 0.3770  6 Cr 2.41-2.48
Cr2 0.3770 0.3770 0.8690  6 Cr 2.41-2.48
Cr3 0.3770 0.8690 0.3770  6 Cr 2.41-2.48
Cr4 0.8690 0.3770 0.3770  6 Cr 2.41-2.48
Os1 0.0000 0.0000 0.0000  12 Cr 2.87, 4 Pb 3.00
Pb1 0.7500 0.7500 0.7500  12 Cr 2.86, 4 Os 3.00



No. 10
Below is an optimized crystal structure of Pm7Ho12Sc, with properties calculated at the PBE-GGA level.

Properties
energy of formation = 5.46 kcal/mol of atoms
distance to the lowest polymorph of the same formula = 0 meV per atom
density of states at the Fermi level = 35.80 states/eV/f.u.
space-group type = R-3, No. 148
total DFT energy (no corrections) = -4.49 eV per atom
spin magnetization = 0.00 μB/atom

a = 8.7275 Å, b = 8.7275 Å, c = 8.7275 Å
α = 85.80°, β = 85.80°, γ = 85.80°
With the nearest neighbours (Å) after each atom.
Positions (direct):
Pm1 0.0000 0.0000 0.0000  6 Ho 3.25
Pm2 0.1008 0.3473 0.4166  3 Pm 3.42-3.44, 7 Ho 3.47-3.78
Pm3 0.3473 0.4166 0.1008  3 Pm 3.42-3.44, 7 Ho 3.47-3.78
Pm4 0.4166 0.1008 0.3473  3 Pm 3.42-3.44, 7 Ho 3.47-3.78
Pm5 0.5834 0.8992 0.6527  3 Pm 3.42-3.44, 7 Ho 3.47-3.78
Pm6 0.6527 0.5834 0.8992  3 Pm 3.42-3.44, 7 Ho 3.47-3.78
Pm7 0.8992 0.6527 0.5834  3 Pm 3.42-3.44, 7 Ho 3.47-3.78
Ho1 0.0006 0.3631 0.8867  4 Ho 3.21-3.49, 2 Pm 3.25-3.47
Ho2 0.1133 0.9994 0.6369  4 Ho 3.21-3.49, 2 Pm 3.25-3.47
Ho3 0.2340 0.7444 0.3550  6 Ho 3.28-3.64, 1 Sc 3.29, 2 Pm 3.52-3.59
Ho4 0.2556 0.6450 0.7660  6 Ho 3.28-3.64, 1 Sc 3.29, 2 Pm 3.52-3.59
Ho5 0.3550 0.2340 0.7444  6 Ho 3.28-3.64, 1 Sc 3.29, 2 Pm 3.52-3.59
Ho6 0.3631 0.8866 0.0006  4 Ho 3.21-3.49, 2 Pm 3.25-3.47
Ho7 0.6369 0.1133 0.9994  4 Ho 3.21-3.49, 2 Pm 3.25-3.47
Ho8 0.6450 0.7660 0.2556  6 Ho 3.28-3.64, 1 Sc 3.29, 2 Pm 3.52-3.59
Ho9 0.7444 0.3550 0.2340  6 Ho 3.28-3.64, 1 Sc 3.29, 2 Pm 3.52-3.59
Ho10 0.7660 0.2556 0.6450  6 Ho 3.28-3.64, 1 Sc 3.29, 2 Pm 3.52-3.59
Ho11 0.8867 0.0006 0.3631  4 Ho 3.21-3.49, 2 Pm 3.25-3.47
Ho12 0.9994 0.6369 0.1133  4 Ho 3.21-3.49, 2 Pm 3.25-3.47
Sc1 0.5000 0.5000 0.5000  6 Ho 3.29